Sr4Nb2O9: PBEsol geometry, meta-GGA SCAN.

* ΔE_f (raw): -3.09 eV/atom
* energy above the lowest structure with this stoichiometry: 0.030 eV/atom
* total DFT energy (no corrections): -17.18 eV per atom
* theoretical density: 5.2 g/cm3

Geometry as extended XYZ:
```
30
Lattice="-0.6006 2.9679 -4.9655 2.8383 -1.6884 -4.8507 -11.3465 -8.5670 -3.8990" Properties=species:S:1:pos:R:3 pbc="T T T"
O -1.0221 1.1728 -6.2011
O -2.7585 -0.4002 -3.3705
O -1.7909 -1.4529 -6.0639
O -1.2465 -2.9873 -3.6837
O -7.3159 -7.0529 -5.0353
O -7.1917 -4.9432 -7.5397
O -3.4302 -3.6911 -5.7487
O -4.4931 -5.6342 -8.6070
O -8.2360 -8.5989 -7.8224
O -4.6019 -1.1577 -5.2319
O -6.7198 -6.5448 -9.9051
O -5.3422 -3.9980 -10.8705
O -10.5591 -6.4944 -8.3767
O 0.9216 0.6146 -8.3159
O -10.4927 -7.8897 -5.6555
O -5.5063 -2.9381 -8.4152
O -3.9177 -2.9160 -3.0525
O 0.9491 -0.9602 -5.8239
Sr -5.8855 -4.7019 -5.5553
Sr -9.0496 -6.6123 -10.3634
Sr -8.8095 -6.4063 -6.6986
Sr -5.6516 -7.8054 -7.9783
Sr -2.8935 -5.8915 -6.8682
Sr -3.2023 -2.3689 -8.1097
Sr -0.3199 -0.1012 -3.8218
Sr -0.0697 -3.5327 -5.9077
Nb -3.1337 -2.1799 -4.6281
Nb -0.4427 -0.3657 -7.2996
Nb -6.1490 -4.7254 -9.2200
Nb -8.5615 -10.0838 -8.9433
```


SrNbO3: PBEsol geometry, meta-GGA SCAN.

* ΔE_f (raw): -3.00 eV/atom
* total DFT energy (no corrections): -17.82 eV per atom
* theoretical density: 5.7 g/cm3

Geometry as extended XYZ:
```
5
Lattice="4.0474 0.0000 0.0000 0.0000 4.0474 0.0000 0.0000 0.0000 4.0474" Properties=species:S:1:pos:R:3 pbc="T T T"
O 0.0000 2.0237 0.0000
O 2.0237 0.0000 0.0000
O 0.0000 0.0000 2.0237
Sr 2.0237 2.0237 2.0237
Nb 0.0000 0.0000 0.0000
```


Sr6Nb2O11: PBEsol geometry, meta-GGA SCAN.

* ΔE_f (raw): -3.10 eV/atom
* total DFT energy (no corrections): -17.23 eV per atom
* theoretical density: 5.1 g/cm3

Geometry as extended XYZ:
```
38
Lattice="-1.1311 -5.7357 1.1455 4.5999 1.4899 -3.4526 8.8487 1.8887 16.9553" Properties=species:S:1:pos:R:3 pbc="T T T"
O 1.5725 -0.7822 -0.4274
O 4.0276 -0.5015 -2.8937
O 8.0162 -2.8747 13.4249
O 5.6603 -0.9894 7.7152
O 7.1908 -3.1936 16.5653
O 4.4245 -3.3124 8.1072
O 3.6417 -1.4414 1.9695
O 8.7621 1.9405 5.9240
O 5.4555 -3.7625 12.6491
O 5.7132 -2.8707 3.3914
O 10.2568 0.3667 11.5212
O 3.6715 -4.3555 2.0061
O 6.9372 0.1767 4.7976
O 7.6353 -0.4787 10.5865
O 3.6690 -1.4981 4.8706
O 8.9963 -0.6614 7.1726
O 3.9684 -3.1779 -0.7774
O 10.2738 -2.1681 15.5462
O 8.0551 0.3601 13.2882
O 8.7914 1.9278 9.5970
O 3.5970 -4.2824 4.8185
O 1.6662 -2.8660 3.3626
Sr 6.0384 -1.2710 12.3638
Sr 1.8361 -2.9449 0.7423
Sr 6.0225 -0.4228 2.5046
Sr 4.0065 -0.6464 -0.3114
Sr 6.4653 1.1528 8.8688
Sr 8.0556 -1.2082 15.1893
Sr 2.3935 0.4852 3.1421
Sr 9.7112 -2.1128 11.7043
Sr 5.6016 -2.8856 5.9931
Sr 7.6782 -2.1529 8.8670
Sr 4.5807 0.4854 5.8634
Sr 10.2901 1.3781 14.0851
Nb 4.4058 1.4237 -3.2695
Nb 8.4159 1.1717 11.4523
Nb 3.6721 -2.8769 3.3983
Nb 4.1144 -1.4884 8.8765
```


Sr2TbNbO6: PBEsol geometry, meta-GGA SCAN.

* ΔE_f (raw): -3.26 eV/atom
* total DFT energy (no corrections): -19.45 eV per atom
* theoretical density: 5.9 g/cm3

Geometry as extended XYZ:
```
10
Lattice="-3.2021 4.3967 2.3396 -4.8032 -1.2329 3.2354 0.0559 0.9149 5.8497" Properties=species:S:1:pos:R:3 pbc="T T T"
O -4.3686 0.4836 4.5347
O -3.6074 3.1601 4.1088
O -4.3421 0.9186 7.3158
O -3.5809 3.5951 6.8899
O -2.0585 1.5048 5.7776
O -5.8911 2.5740 5.6470
Tb 0.0000 0.0000 0.0000
Sr -1.9874 1.0197 2.8561
Sr -5.9621 3.0591 8.5684
Nb -3.9748 2.0394 5.7123
```


Sr3TiNb4O15: PBEsol geometry, meta-GGA SCAN.

* ΔE_f (raw): -3.07 eV/atom
* total DFT energy (no corrections): -16.49 eV per atom
* theoretical density: 4.9 g/cm3

Geometry as extended XYZ:
```
46
Lattice="3.9219 0.0000 -0.0011 0.0000 12.5881 0.0000 -0.0455 0.0000 12.6290" Properties=species:S:1:pos:R:3 pbc="T T T"
O 1.0641 7.5000 0.0028
O 2.9693 5.6432 11.4425
O 2.9568 3.0523 6.2218
O 1.0156 3.1696 8.2417
O 1.0454 2.3468 1.6283
O 1.0394 11.1749 5.4131
O 1.0226 10.2413 7.9428
O 1.0235 1.0846 6.1674
O 1.0144 6.5754 9.7098
O 2.9863 12.0384 7.1368
O 2.9812 8.4236 8.7098
O 2.9822 2.1737 10.0071
O 1.0008 11.5034 12.4819
O 1.0198 0.2687 9.1971
O 3.0049 10.4144 3.6925
O 1.0470 4.7909 0.6641
O 1.0372 6.0127 3.3952
O 3.0090 0.5496 0.8223
O 1.0152 3.9777 10.7071
O 1.0380 8.6104 4.3926
O 1.0242 7.7972 6.9787
O 2.9341 9.5358 12.5363
O 3.0040 4.1644 2.3953
O 1.0404 3.1497 4.2642
O 1.0413 5.0881 6.3173
O 1.0425 12.3194 2.8826
O 1.0167 1.4132 11.7276
O 1.0177 9.4384 10.5787
O 1.0383 9.4185 1.9272
O 2.9920 6.9449 5.1280
Sr 2.9730 9.4486 6.3073
Sr 2.9396 4.7114 9.0270
Sr 2.9634 0.3293 4.6694
Sr 2.9624 7.8766 2.7124
Sr 2.9503 3.1395 12.6218
Sr 2.9407 12.2588 10.9839
Nb 1.0450 0.5163 1.1640
Nb 1.0255 6.7341 5.4199
Nb 1.0204 8.3836 9.0420
Nb 1.0027 5.8540 11.7344
Nb 0.9317 9.5510 0.0230
Nb 1.0432 4.2045 2.7275
Nb 0.9090 3.0371 6.3375
Nb 1.0222 12.0718 7.4785
Ti 0.9455 2.2224 10.0565
Ti 0.9683 10.3656 3.7420
```


Sr2TmNbO6: PBEsol geometry, meta-GGA SCAN.

* ΔE_f (raw): -3.34 eV/atom
* total DFT energy (no corrections): -20.03 eV per atom
* theoretical density: 6.2 g/cm3

Geometry as extended XYZ:
```
20
Lattice="5.9166 0.0000 0.0000 0.0000 5.8417 0.0000 0.0000 0.0000 8.2673" Properties=species:S:1:pos:R:3 pbc="T T T"
Nb 0.0533 0.0000 0.0000
Nb 3.0116 2.9208 4.1336
O 4.4218 4.5084 0.0006
O 1.4635 4.2542 4.1342
O 4.4218 1.3333 8.2667
O 2.8620 2.9213 2.1485
O 4.3007 1.4471 4.1346
O 1.3424 1.4737 0.0010
O 2.8620 2.9204 6.1188
O 1.3424 4.3680 8.2663
O 1.4635 1.5875 4.1331
O 5.8203 0.0005 1.9851
O 4.3007 4.3946 4.1326
O 5.8203 5.8412 6.2822
Sr 3.2395 0.0001 6.2134
Sr 0.2812 2.9209 6.1875
Sr 3.2395 5.8416 2.0539
Sr 0.2812 2.9208 2.0798
Tm 0.0726 0.0000 4.1336
Tm 3.0310 2.9208 0.0000
```


Number 1: M_tot 0.007 μB/f.u.. Number 2: M_tot 0.000 μB/f.u.. Number 3: M_tot 0.000 μB/f.u.. Number 4: M_tot 0.000 μB/f.u.. Number 5: M_tot 0.000 μB/f.u.. Number 6: M_tot 0.000 μB/f.u..